Density functional theory data (PBE-GGA) for a relaxed structure of Th2Cu15Pt2.

abc: 6.558 6.558 6.558
angles: 83.86 83.86 83.86
Atoms (fractional coordinates):
Th  0.163  0.163  0.163
Th  0.837  0.837  0.837
Cu  0.000  0.500  0.500
Cu  0.150  0.150  0.658
Cu  0.150  0.658  0.150
Cu  0.208  0.500  0.792
Cu  0.208  0.792  0.500
Cu  0.342  0.850  0.850
Cu  0.500  0.000  0.500
Cu  0.500  0.208  0.792
Cu  0.500  0.500  0.000
Cu  0.500  0.792  0.208
Cu  0.658  0.150  0.150
Cu  0.792  0.208  0.500
Cu  0.792  0.500  0.208
Cu  0.850  0.342  0.850
Cu  0.850  0.850  0.342
Pt  0.391  0.391  0.391
Pt  0.609  0.609  0.609

Calculated formation energy ... -4.53 kcal/mol of atoms